## Zr2FeBi (PBE)

Data for crystalline Zr2FeBi at its relaxed geometry.

a = 6.1451 Å, b = 6.1451 Å, c = 6.1451 Å
α = 103.84°, β = 103.84°, γ = 121.44°
Element x y z (fractional)
Zr 0.0582 0.6250 0.9332
Zr 0.3750 0.3082 0.4332
Zr 0.6918 0.1250 0.0668
Zr 0.8750 0.9418 0.5668
Fe 0.0000 0.0000 0.0000
Fe 0.7500 0.2500 0.5000
Bi 0.2500 0.7500 0.5000
Bi 0.5000 0.5000 0.0000

Calculated values
- excess energy over the best structure of this formula in the dataset (meV/atom) = 78
- DOS(E_F) (states/eV/f.u.) = 3.99
- electronic total energy (eV per atom) = -7.2263
- E_form (kJ per mole of atoms) = 12.9
- symmetry = I-42d (122)